LiCr2Br | Alexandria via LeMat-Bulk | PBE-GGA | optimized geometry; formation energy (no corrections) = 0.644 eV per atom; V = 77.7 Å³/cell; energy above the most stable polymorph in this dataset = 635 meV/atom
1.0
5.713 0.014 -0.018
2.714 5.027 0.018
-3.645 -3.469 2.703
Cr Li Br
2 1 1
Direct
0.025 0.025 0.000
0.758 0.258 0.500
0.472 0.472 0.000
0.245 0.745 0.500